! CaSiIN2 | the Alexandria database | PBE | relaxed; values from VASP
&SYSTEM
  ibrav = 0, nat = 5, ntyp = 4
/
ATOMIC_SPECIES
Ca 40.08 Ca.upf
Si 28.09 Si.upf
I 126.90 I.upf
N 14.01 N.upf
CELL_PARAMETERS angstrom
3.8947 0.0000 0.0000
0.0000 3.8947 0.0000
0.0000 0.0000 5.5914
ATOMIC_POSITIONS crystal
Ca 0.0000 0.0000 0.0000
Si 0.5000 0.5000 0.5000
I 0.5000 0.5000 0.0000
N 0.0000 0.5000 0.5000
N 0.5000 0.0000 0.5000
! * total energy: -23.73 eV per cell
! * uncorrected formation energy: 0.380 eV per atom
! * excess energy over the best structure of this formula in the dataset: 0 meV per atom
! * magnetization: 0.101 μB per atom
! * mass density: 4.4 g cm⁻³